1.
# GGA-PBE AcCeBi6, optimized geometry
# DFT formation energy	-0.370	eV per atom
# volume	268.9	Å³/f.u.
data_AcCeBi6
_chemical_formula_sum 'Ac2 Ce2 Bi12'
_cell_length_a 4.805
_cell_length_b 4.777
_cell_length_c 23.423
_cell_angle_alpha 90.00
_cell_angle_beta 90.00
_cell_angle_gamma 90.00
_symmetry_space_group_name_H-M 'A m m 2'
_symmetry_Int_Tables_number 38
loop_
_symmetry_equiv_pos_as_xyz
'x,y,z'
'-x,-y,z'
'-x,y,z'
'x,-y,z'
'x,y+1/2,z+1/2'
'-x,-y+1/2,z+1/2'
'-x,y+1/2,z+1/2'
'x,-y+1/2,z+1/2'
loop_
_atom_site_label
_atom_site_fract_x
_atom_site_fract_y
_atom_site_fract_z
Ac1 0.000 0.000 0.000
Ce1 0.500 0.000 0.652
Bi1 0.000 0.000 0.145
Bi2 0.000 0.000 0.371
Bi3 0.000 0.000 0.758
Bi4 0.500 0.000 0.263
Bi5 0.500 0.000 0.513
Bi6 0.500 0.000 0.889

=====

2.
# GGA-PBE AcCeBi, optimized geometry
# DFT formation energy	-0.214	eV per atom
# energy relative to the lowest polymorph listed for this composition	0.1925	eV/atom
# volume	111.3	Å³/f.u.
data_AcCeBi
_chemical_formula_sum 'Ac1 Ce1 Bi1'
_cell_length_a 5.4744
_cell_length_b 5.4744
_cell_length_c 4.2889
_cell_angle_alpha 90.00
_cell_angle_beta 90.00
_cell_angle_gamma 120.00
_symmetry_space_group_name_H-M 'P 3 m 1'
_symmetry_Int_Tables_number 156
loop_
_symmetry_equiv_pos_as_xyz
'x,y,z'
'-y,x-y,z'
'-x+y,-x,z'
'-y,-x,z'
'-x+y,y,z'
'x,x-y,z'
loop_
_atom_site_label
_atom_site_fract_x
_atom_site_fract_y
_atom_site_fract_z
Ac1 0.0000 0.0000 0.0000
Ce1 0.3333 0.6667 0.4920
Bi1 0.6667 0.3333 0.5309

=====

3.
# GGA-PBE AcCe4Bi5, optimized geometry
# DFT formation energy	-0.820	eV per atom
# volume	359.1	Å³/f.u.
data_AcCe4Bi5
_chemical_formula_sum 'Ac2 Ce8 Bi10'
_cell_length_a 4.662
_cell_length_b 6.607
_cell_length_c 23.316
_cell_angle_alpha 90.00
_cell_angle_beta 90.00
_cell_angle_gamma 90.00
_symmetry_space_group_name_H-M 'I m m m'
_symmetry_Int_Tables_number 71
_symmetry_space_group_name_Hall '-I 2 2'
loop_
_atom_site_label
_atom_site_fract_x
_atom_site_fract_y
_atom_site_fract_z
Ac1 0.000 0.000 0.000
Ce1 0.000 0.000 0.203
Ce2 0.000 0.000 0.400
Bi1 0.000 0.500 0.000
Bi2 0.000 0.500 0.199
Bi3 0.000 0.500 0.394

=====

4.
# GGA-PBE Ac3Ce5Bi8, optimized geometry
# DFT formation energy	-0.859	eV per atom
# volume	592.0	Å³/f.u.
data_Ac3Ce5Bi8
_chemical_formula_sum 'Ac9 Ce15 Bi24'
_cell_length_a 9.4219
_cell_length_b 9.4219
_cell_length_c 23.1034
_cell_angle_alpha 90.00
_cell_angle_beta 90.00
_cell_angle_gamma 120.00
_symmetry_space_group_name_H-M 'R -3 m'
_symmetry_Int_Tables_number 166
_symmetry_space_group_name_Hall '-R 3 2"'
loop_
_atom_site_label
_atom_site_fract_x
_atom_site_fract_y
_atom_site_fract_z
Ac1 0.0000 0.5000 0.0000
Ce1 0.0000 0.0000 0.0000
Ce2 0.0000 0.0000 0.5000
Ce3 0.0000 0.5000 0.5000
Bi1 0.0000 0.0000 0.2441
Bi2 0.0077 0.5039 0.7538

=====

5.
# GGA-PBE Ac5Ce3Bi8, optimized geometry
# DFT formation energy	-0.914	eV per atom
# volume	618.4	Å³/f.u.
data_Ac5Ce3Bi8
_chemical_formula_sum 'Ac15 Ce9 Bi24'
_cell_length_a 9.5588
_cell_length_b 9.5588
_cell_length_c 23.4455
_cell_angle_alpha 90.00
_cell_angle_beta 90.00
_cell_angle_gamma 120.00
_symmetry_space_group_name_H-M 'R -3 m'
_symmetry_Int_Tables_number 166
_symmetry_space_group_name_Hall '-R 3 2"'
loop_
_atom_site_label
_atom_site_fract_x
_atom_site_fract_y
_atom_site_fract_z
Ac1 0.0000 0.0000 0.0000
Ac2 0.0000 0.0000 0.5000
Ac3 0.0000 0.5000 0.0000
Ce1 0.0000 0.5000 0.5000
Bi1 0.0000 0.0000 0.2446
Bi2 0.0076 0.5038 0.7538

=====

6.
# GGA-PBE Ac4CeBi6, optimized geometry
# DFT formation energy	-0.797	eV per atom
# volume	418.2	Å³/f.u.
data_Ac4CeBi6
_chemical_formula_sum 'Ac24 Ce6 Bi36'
_cell_length_a 13.0322
_cell_length_b 13.0322
_cell_length_c 17.0583
_cell_angle_alpha 90.00
_cell_angle_beta 90.00
_cell_angle_gamma 120.00
_symmetry_space_group_name_H-M 'R -3 c'
_symmetry_Int_Tables_number 167
_symmetry_space_group_name_Hall '-R 3 2"c'
loop_
_atom_site_label
_atom_site_fract_x
_atom_site_fract_y
_atom_site_fract_z
Ac1 0.0000 0.0000 0.2500
Ac2 0.0000 0.3830 0.2500
Ce1 0.0000 0.0000 0.0000
Bi1 0.0294 0.2102 0.3901

=====

7.
# GGA-PBE AcCe2Bi3, optimized geometry
# DFT formation energy	-0.846	eV per atom
# volume	220.8	Å³/f.u.
data_AcCe2Bi3
_chemical_formula_sum 'Ac2 Ce4 Bi6'
_cell_length_a 4.698
_cell_length_b 6.666
_cell_length_c 14.102
_cell_angle_alpha 90.00
_cell_angle_beta 90.00
_cell_angle_gamma 90.00
_symmetry_space_group_name_H-M 'I m m m'
_symmetry_Int_Tables_number 71
_symmetry_space_group_name_Hall '-I 2 2'
loop_
_atom_site_label
_atom_site_fract_x
_atom_site_fract_y
_atom_site_fract_z
Ac1 0.000 0.000 0.000
Ce1 0.000 0.000 0.335
Bi1 0.000 0.500 0.000
Bi2 0.000 0.500 0.324

=====

8.
# GGA-PBE AcCe2Bi, optimized geometry
# DFT formation energy	-0.109	eV per atom
# energy relative to the lowest polymorph listed for this composition	0.2215	eV/atom
# volume	128.2	Å³/f.u.
data_AcCe2Bi
_chemical_formula_sum 'Ac4 Ce8 Bi4'
_cell_length_a 8.005
_cell_length_b 8.005
_cell_length_c 8.005
_cell_angle_alpha 90.00
_cell_angle_beta 90.00
_cell_angle_gamma 90.00
_symmetry_space_group_name_H-M 'F m -3 m'
_symmetry_Int_Tables_number 225
_symmetry_space_group_name_Hall '-F 4 2 3'
loop_
_atom_site_label
_atom_site_fract_x
_atom_site_fract_y
_atom_site_fract_z
Ac1 0.000 0.000 0.000
Ce1 0.250 0.250 0.250
Bi1 0.000 0.000 0.500

=====

9.
# GGA-PBE AcCeBi, optimized geometry
# DFT formation energy	-0.407	eV per atom
# energy relative to the lowest polymorph listed for this composition	0.0000	eV/atom
# volume	104.6	Å³/f.u.
data_AcCeBi
_chemical_formula_sum 'Ac2 Ce2 Bi2'
_cell_length_a 4.292
_cell_length_b 4.292
_cell_length_c 11.352
_cell_angle_alpha 90.00
_cell_angle_beta 90.00
_cell_angle_gamma 90.00
_symmetry_space_group_name_H-M 'I 4 m m'
_symmetry_Int_Tables_number 107
_symmetry_space_group_name_Hall 'I 4 -2'
loop_
_atom_site_label
_atom_site_fract_x
_atom_site_fract_y
_atom_site_fract_z
Ac1 0.000 0.000 0.000
Ce1 0.000 0.000 0.300
Bi1 0.000 0.000 0.670

=====

10.
# GGA-PBE AcCe3Bi3, optimized geometry
# DFT formation energy	-0.403	eV per atom
# volume	251.3	Å³/f.u.
data_AcCe3Bi3
_chemical_formula_sum 'Ac6 Ce18 Bi18'
_cell_length_a 8.1160
_cell_length_b 8.1160
_cell_length_c 26.4344
_cell_angle_alpha 90.00
_cell_angle_beta 90.00
_cell_angle_gamma 120.00
_symmetry_space_group_name_H-M 'R -3'
_symmetry_Int_Tables_number 148
_symmetry_space_group_name_Hall '-R 3'
loop_
_atom_site_label
_atom_site_fract_x
_atom_site_fract_y
_atom_site_fract_z
Ac1 0.0000 0.0000 0.1654
Ce1 0.0231 0.7278 0.9705
Bi1 0.0223 0.7259 0.4279

=====

11.
# GGA-PBE AcCe2Bi, optimized geometry
# DFT formation energy	-0.309	eV per atom
# energy relative to the lowest polymorph listed for this composition	0.0225	eV/atom
# volume	126.6	Å³/f.u.
data_AcCe2Bi
_chemical_formula_sum 'Ac1 Ce2 Bi1'
_cell_length_a 5.003
_cell_length_b 5.003
_cell_length_c 5.059
_cell_angle_alpha 90.00
_cell_angle_beta 90.00
_cell_angle_gamma 90.00
_symmetry_space_group_name_H-M 'P 4/m m m'
_symmetry_Int_Tables_number 123
_symmetry_space_group_name_Hall '-P 4 2'
loop_
_atom_site_label
_atom_site_fract_x
_atom_site_fract_y
_atom_site_fract_z
Ac1 0.000 0.000 0.000
Ce1 0.000 0.500 0.500
Bi1 0.500 0.500 0.000

=====

12.
# GGA-PBE Ac5CeBi6, optimized geometry
# DFT formation energy	-0.964	eV per atom
# volume	480.1	Å³/f.u.
data_Ac5CeBi6
_chemical_formula_sum 'Ac10 Ce2 Bi12'
_cell_length_a 8.375
_cell_length_b 14.506
_cell_length_c 8.383
_cell_angle_alpha 90.00
_cell_angle_beta 109.48
_cell_angle_gamma 90.00
_symmetry_space_group_name_H-M 'C 1 2/m 1'
_symmetry_Int_Tables_number 12
loop_
_symmetry_equiv_pos_as_xyz
'x,y,z'
'-x,-y,-z'
'-x,y,-z'
'x,-y,z'
'x+1/2,y+1/2,z'
'-x+1/2,-y+1/2,-z'
'-x+1/2,y+1/2,-z'
'x+1/2,-y+1/2,z'
loop_
_atom_site_label
_atom_site_fract_x
_atom_site_fract_y
_atom_site_fract_z
Ac1 0.000 0.000 0.000
Ac2 0.000 0.166 0.500
Ac3 0.000 0.331 0.000
Ce1 0.000 0.500 0.500
Bi1 0.241 0.500 0.254
Bi2 0.243 0.338 0.743

=====

13.
# GGA-PBE AcCeCuBi, optimized geometry
# DFT formation energy	-0.259	eV per atom
# volume	120.6	Å³/f.u.
data_AcCeCuBi
_chemical_formula_sum 'Ac4 Ce4 Cu4 Bi4'
_cell_length_a 7.843
_cell_length_b 7.843
_cell_length_c 7.843
_cell_angle_alpha 90.00
_cell_angle_beta 90.00
_cell_angle_gamma 90.00
_symmetry_space_group_name_H-M 'F -4 3 m'
_symmetry_Int_Tables_number 216
_symmetry_space_group_name_Hall 'F -4 2 3'
loop_
_atom_site_label
_atom_site_fract_x
_atom_site_fract_y
_atom_site_fract_z
Ac1 0.000 0.000 0.000
Ce1 0.000 0.000 0.500
Cu1 0.250 0.250 0.750
Bi1 0.250 0.250 0.250

=====

14.
# GGA-PBE AcCeDy2Bi4, optimized geometry
# DFT formation energy	-0.862	eV per atom
# volume	278.1	Å³/f.u.
data_AcCeDy2Bi4
_chemical_formula_sum 'Ac1 Ce1 Dy2 Bi4'
_cell_length_a 7.978
_cell_length_b 4.620
_cell_length_c 8.002
_cell_angle_alpha 90.00
_cell_angle_beta 109.50
_cell_angle_gamma 90.00
_symmetry_space_group_name_H-M 'P 1 2/m 1'
_symmetry_Int_Tables_number 10
loop_
_symmetry_equiv_pos_as_xyz
'x,y,z'
'-x,-y,-z'
'-x,y,-z'
'x,-y,z'
loop_
_atom_site_label
_atom_site_fract_x
_atom_site_fract_y
_atom_site_fract_z
Ac1 0.000 0.000 0.000
Ce1 0.000 0.500 0.500
Dy1 0.500 0.000 0.500
Dy2 0.500 0.500 0.000
Bi1 0.262 0.000 0.747
Bi2 0.268 0.500 0.263

=====

15.
# GGA-PBE AcCe2DyBi4, optimized geometry
# DFT formation energy	-0.839	eV per atom
# volume	284.2	Å³/f.u.
data_AcCe2DyBi4
_chemical_formula_sum 'Ac1 Ce2 Dy1 Bi4'
_cell_length_a 8.048
_cell_length_b 4.649
_cell_length_c 8.054
_cell_angle_alpha 90.00
_cell_angle_beta 109.45
_cell_angle_gamma 90.00
_symmetry_space_group_name_H-M 'P 1 2/m 1'
_symmetry_Int_Tables_number 10
loop_
_symmetry_equiv_pos_as_xyz
'x,y,z'
'-x,-y,-z'
'-x,y,-z'
'x,-y,z'
loop_
_atom_site_label
_atom_site_fract_x
_atom_site_fract_y
_atom_site_fract_z
Ac1 0.000 0.000 0.000
Ce1 0.500 0.000 0.500
Ce2 0.500 0.500 0.000
Dy1 0.000 0.500 0.500
Bi1 0.251 0.000 0.739
Bi2 0.259 0.500 0.264

=====

16.
# GGA-PBE AcCe2ErBi4, optimized geometry
# DFT formation energy	-0.823	eV per atom
# volume	283.1	Å³/f.u.
data_AcCe2ErBi4
_chemical_formula_sum 'Ac1 Ce2 Er1 Bi4'
_cell_length_a 8.037
_cell_length_b 4.645
_cell_length_c 8.043
_cell_angle_alpha 90.00
_cell_angle_beta 109.46
_cell_angle_gamma 90.00
_symmetry_space_group_name_H-M 'P 1 2/m 1'
_symmetry_Int_Tables_number 10
loop_
_symmetry_equiv_pos_as_xyz
'x,y,z'
'-x,-y,-z'
'-x,y,-z'
'x,-y,z'
loop_
_atom_site_label
_atom_site_fract_x
_atom_site_fract_y
_atom_site_fract_z
Ac1 0.000 0.000 0.000
Ce1 0.500 0.000 0.500
Ce2 0.500 0.500 0.000
Er1 0.000 0.500 0.500
Bi1 0.249 0.000 0.738
Bi2 0.259 0.500 0.265

=====

17.
# GGA-PBE Ac4CeEr3Bi8, optimized geometry
# DFT formation energy	-0.888	eV per atom
# volume	582.0	Å³/f.u.
data_Ac4CeEr3Bi8
_chemical_formula_sum 'Ac12 Ce3 Er9 Bi24'
_cell_length_a 9.3743
_cell_length_b 9.3743
_cell_length_c 22.9431
_cell_angle_alpha 90.00
_cell_angle_beta 90.00
_cell_angle_gamma 120.00
_symmetry_space_group_name_H-M 'R -3 m'
_symmetry_Int_Tables_number 166
_symmetry_space_group_name_Hall '-R 3 2"'
loop_
_atom_site_label
_atom_site_fract_x
_atom_site_fract_y
_atom_site_fract_z
Ac1 0.0000 0.0000 0.0000
Ac2 0.0000 0.5000 0.0000
Ce1 0.0000 0.0000 0.5000
Er1 0.0000 0.5000 0.5000
Bi1 0.0000 0.0000 0.2416
Bi2 0.0035 0.5017 0.7576

=====

18.
# GGA-PBE AcCeGdBi, optimized geometry
# DFT formation energy	-0.138	eV per atom
# volume	130.3	Å³/f.u.
data_AcCeGdBi
_chemical_formula_sum 'Ac4 Ce4 Gd4 Bi4'
_cell_length_a 8.048
_cell_length_b 8.048
_cell_length_c 8.048
_cell_angle_alpha 90.00
_cell_angle_beta 90.00
_cell_angle_gamma 90.00
_symmetry_space_group_name_H-M 'F -4 3 m'
_symmetry_Int_Tables_number 216
_symmetry_space_group_name_Hall 'F -4 2 3'
loop_
_atom_site_label
_atom_site_fract_x
_atom_site_fract_y
_atom_site_fract_z
Ac1 0.000 0.000 0.000
Ce1 0.250 0.250 0.250
Gd1 0.250 0.250 0.750
Bi1 0.000 0.000 0.500

=====

19.
# GGA-PBE AcCe2HoBi4, optimized geometry
# DFT formation energy	-0.831	eV per atom
# volume	283.6	Å³/f.u.
data_AcCe2HoBi4
_chemical_formula_sum 'Ac1 Ce2 Ho1 Bi4'
_cell_length_a 8.043
_cell_length_b 4.646
_cell_length_c 8.047
_cell_angle_alpha 90.00
_cell_angle_beta 109.45
_cell_angle_gamma 90.00
_symmetry_space_group_name_H-M 'P 1 2/m 1'
_symmetry_Int_Tables_number 10
loop_
_symmetry_equiv_pos_as_xyz
'x,y,z'
'-x,-y,-z'
'-x,y,-z'
'x,-y,z'
loop_
_atom_site_label
_atom_site_fract_x
_atom_site_fract_y
_atom_site_fract_z
Ac1 0.000 0.000 0.000
Ce1 0.500 0.000 0.500
Ce2 0.500 0.500 0.000
Ho1 0.000 0.500 0.500
Bi1 0.250 0.000 0.738
Bi2 0.259 0.500 0.265

=====

20.
# GGA-PBE AcLa2CeBi4, optimized geometry
# DFT formation energy	-0.968	eV per atom
# volume	299.4	Å³/f.u.
data_AcLa2CeBi4
_chemical_formula_sum 'Ac1 La2 Ce1 Bi4'
_cell_length_a 8.190
_cell_length_b 4.731
_cell_length_c 8.193
_cell_angle_alpha 90.00
_cell_angle_beta 109.45
_cell_angle_gamma 90.00
_symmetry_space_group_name_H-M 'P 1 2/m 1'
_symmetry_Int_Tables_number 10
loop_
_symmetry_equiv_pos_as_xyz
'x,y,z'
'-x,-y,-z'
'-x,y,-z'
'x,-y,z'
loop_
_atom_site_label
_atom_site_fract_x
_atom_site_fract_y
_atom_site_fract_z
Ac1 0.000 0.000 0.000
La1 0.000 0.500 0.500
La2 0.500 0.000 0.500
Ce1 0.500 0.500 0.000
Bi1 0.258 0.000 0.751
Bi2 0.259 0.500 0.255